[1]
## SrTb2Ni (PBE-GGA)

Data for a relaxed SrTb2Ni crystal.

- size of the total moment (μB/cell) = 0.000
- raw total energy (eV/atom) = -4.254
- symmetry = P4/mmm, No. 123
- N(E_F) (states/eV per cell) = 5.0
- formation enthalpy at 0 K (meV/atom) = -73

Unit cell a=3.5074 b=3.5074 c=9.6856 alpha=90.00 beta=90.00 gamma=90.00
Last column: nearest neighbours and their distance in Å.
Atoms (fractional coordinates):
Sr: 0.5000 0.5000 0.5000  4 Sr 3.51
Tb: 0.0000 0.0000 0.8366  4 Ni 2.94, 1 Tb 3.17
Tb: 0.0000 0.0000 0.1634  4 Ni 2.94, 1 Tb 3.17
Ni: 0.5000 0.5000 0.0000  8 Tb 2.94

[2]
## Sr2TbNi9 (PBE-GGA)

Data for a relaxed Sr2TbNi9 crystal.

- size of the total moment (μB/cell) = 2.196
- raw total energy (eV/atom) = -5.139
- symmetry = R-3m, No. 166
- N(E_F) (states/eV per cell) = 12.2
- formation enthalpy at 0 K (meV/atom) = -137

Unit cell a=5.0445 b=5.0445 c=8.8456 alpha=73.43 beta=73.43 gamma=60.00
Last column: nearest neighbours and their distance in Å.
Atoms (fractional coordinates):
Sr: 0.8596 0.8596 0.4212  12 Ni 2.98-3.25, 3 Sr 3.20
Sr: 0.1404 0.1404 0.5788  12 Ni 2.98-3.25, 3 Sr 3.20
Tb: 0.0000 0.0000 0.0000  18 Ni 2.91-3.18
Ni: 0.6677 0.6677 0.9969  6 Ni 2.41-2.44
Ni: 0.3323 0.3323 0.0031  6 Ni 2.41-2.44
Ni: 0.5000 0.5000 0.5000  6 Ni 2.66
Ni: 0.4245 0.4245 0.2322  7 Ni 2.41-2.66
Ni: 0.9188 0.4245 0.2322  7 Ni 2.41-2.66
Ni: 0.4245 0.9188 0.2322  7 Ni 2.41-2.66
Ni: 0.5755 0.5755 0.7678  7 Ni 2.41-2.66
Ni: 0.5755 0.0812 0.7678  7 Ni 2.41-2.66
Ni: 0.0812 0.5755 0.7678  7 Ni 2.41-2.66

[3]
## SrTc2Ni (PBE-GGA)

Data for a relaxed SrTc2Ni crystal.

- size of the total moment (μB/cell) = 0.166
- raw total energy (eV/atom) = -6.133
- symmetry = I4/mmm, No. 139
- N(E_F) (states/eV per cell) = 5.7
- formation enthalpy at 0 K (meV/atom) = 916

Unit cell a=5.6989 b=5.6989 c=5.6989 alpha=141.32 beta=141.32 gamma=55.86
Last column: nearest neighbours and their distance in Å.
Atoms (fractional coordinates):
Ni: 0.2500 0.7500 0.5000  4 Sr 2.67
Sr: 0.7500 0.2500 0.5000  4 Ni 2.67
Tc: 0.0000 0.0000 0.0000  4 Tc 2.67
Tc: 0.5000 0.5000 0.0000  4 Tc 2.67

[4]
## SrTc2Ni (PBE-GGA)

Data for a relaxed SrTc2Ni crystal.

- size of the total moment (μB/cell) = 0.000
- raw total energy (eV/atom) = -6.305
- symmetry = Imm2, No. 44
- N(E_F) (states/eV per cell) = 3.3
- formation enthalpy at 0 K (meV/atom) = 744

Unit cell a=5.4301 b=5.4301 c=5.4301 alpha=144.88 beta=121.79 gamma=69.84
Last column: nearest neighbours and their distance in Å.
Atoms (fractional coordinates):
Ni: 0.5448 0.5448 0.0000  2 Tc 2.47
Sr: 0.2546 0.7546 0.5000  4 Ni 3.06-3.24, 8 Tc 3.11-3.18, 2 Sr 3.28
Tc: 0.9481 0.9481 0.0000  2 Tc 2.39
Tc: 0.7525 0.2525 0.5000  2 Tc 2.39, 2 Ni 2.47

[5]
## SrTc2Ni (PBE-GGA)

Data for a relaxed SrTc2Ni crystal.

- size of the total moment (μB/cell) = 0.001
- raw total energy (eV/atom) = -6.137
- symmetry = Cmmm, No. 65
- N(E_F) (states/eV per cell) = 5.2
- formation enthalpy at 0 K (meV/atom) = 912

Unit cell a=5.5891 b=5.5891 c=2.6794 alpha=90.00 beta=90.00 gamma=124.48
Last column: nearest neighbours and their distance in Å.
Atoms (fractional coordinates):
Ni: 0.5000 0.0000 0.5000  2 Sr 2.60, 2 Ni 2.68
Sr: 0.0000 0.5000 0.5000  2 Ni 2.60, 2 Sr 2.68
Tc: 0.0000 0.0000 0.0000  4 Tc 2.60-2.68
Tc: 0.5000 0.5000 0.0000  4 Tc 2.60-2.68

[6]
## SrTc2Ni (PBE-GGA)

Data for a relaxed SrTc2Ni crystal.

- size of the total moment (μB/cell) = 0.000
- raw total energy (eV/atom) = -6.443
- symmetry = P4/mmm, No. 123
- N(E_F) (states/eV per cell) = 6.3
- formation enthalpy at 0 K (meV/atom) = 606

Unit cell a=3.2328 b=3.2306 c=7.2346 alpha=90.00 beta=90.00 gamma=90.00
Last column: nearest neighbours and their distance in Å.
Atoms (fractional coordinates):
Ni: 0.5000 0.5000 0.2500  8 Tc 2.56
Sr: 0.5000 0.5000 0.7500  4 Sr 3.23, 8 Tc 3.36, 2 Ni 3.62
Tc: 0.0000 0.0000 0.0907  1 Tc 2.31, 4 Ni 2.56
Tc: 0.0000 0.0000 0.4093  1 Tc 2.31, 4 Ni 2.56

[7]
## SrTc2Ni (PBE-GGA)

Data for a relaxed SrTc2Ni crystal.

- size of the total moment (μB/cell) = 0.000
- raw total energy (eV/atom) = -6.417
- symmetry = P2/m, No. 10
- N(E_F) (states/eV per cell) = 4.4
- formation enthalpy at 0 K (meV/atom) = 632

Unit cell a=4.6388 b=4.0051 c=4.4621 alpha=73.50 beta=90.00 gamma=90.00
Last column: nearest neighbours and their distance in Å.
Atoms (fractional coordinates):
Ni: 0.5000 0.2500 0.2500  2 Sr 2.54, 4 Tc 2.60
Sr: 0.5000 0.7500 0.7500  2 Ni 2.54
Tc: 0.0000 0.0653 0.0903  2 Tc 2.33-2.52, 2 Ni 2.60
Tc: 0.0000 0.4347 0.4097  2 Tc 2.33-2.52, 2 Ni 2.60

[8]
## SrTc2Ni (PBE-GGA)

Data for a relaxed SrTc2Ni crystal.

- size of the total moment (μB/cell) = 0.662
- raw total energy (eV/atom) = -6.284
- symmetry = F-43m, No. 216
- N(E_F) (states/eV per cell) = 4.8
- formation enthalpy at 0 K (meV/atom) = 765

Unit cell a=4.5834 b=4.5834 c=4.5834 alpha=60.00 beta=60.00 gamma=60.00
Last column: nearest neighbours and their distance in Å.
Atoms (fractional coordinates):
Ni: 0.5000 0.5000 0.5000  4 Sr 2.81, 4 Tc 2.81
Sr: 0.7500 0.7500 0.7500  4 Ni 2.81, 4 Tc 2.81
Tc: 0.0000 0.0000 0.0000  4 Tc 2.81, 4 Sr 2.81
Tc: 0.2500 0.2500 0.2500  4 Tc 2.81, 4 Ni 2.81

[9]
## SrTc2Ni (PBE-GGA)

Data for a relaxed SrTc2Ni crystal.

- size of the total moment (μB/cell) = 0.002
- raw total energy (eV/atom) = -6.204
- symmetry = C2/m, No. 12
- N(E_F) (states/eV per cell) = 5.5
- formation enthalpy at 0 K (meV/atom) = 844

Unit cell a=5.7197 b=5.0897 c=2.7023 alpha=79.91 beta=80.89 gamma=113.80
Last column: nearest neighbours and their distance in Å.
Atoms (fractional coordinates):
Ni: 0.5000 0.5000 0.0000  2 Sr 2.66, 2 Ni 2.70, 4 Tc 2.96
Sr: 0.5000 0.0000 0.5000  2 Ni 2.66, 2 Sr 2.70, 4 Tc 2.96
Tc: 0.0000 0.0000 0.0000  4 Tc 2.66-2.70, 2 Sr 2.96, 2 Ni 2.96
Tc: 0.0000 0.5000 0.5000  4 Tc 2.66-2.70, 2 Ni 2.96, 2 Sr 2.96

[10]
## SrTc2Ni (PBE-GGA)

Data for a relaxed SrTc2Ni crystal.

- size of the total moment (μB/cell) = 0.000
- raw total energy (eV/atom) = -6.200
- symmetry = I4_1/amd, No. 141
- N(E_F) (states/eV per cell) = 10.3
- formation enthalpy at 0 K (meV/atom) = 849

Unit cell a=4.6492 b=4.6492 c=9.3066 alpha=75.54 beta=75.54 gamma=90.00
Last column: nearest neighbours and their distance in Å.
Atoms (fractional coordinates):
Sr: 0.0000 0.0000 0.0000  4 Ni 3.29, 8 Tc 3.39
Sr: 0.7500 0.2500 0.5000  4 Ni 3.29, 8 Tc 3.39
Tc: 0.3749 0.1250 0.2500  2 Tc 2.32, 2 Ni 2.47
Tc: 0.3751 0.6250 0.2500  2 Tc 2.32, 2 Ni 2.47
Tc: 0.3750 0.6251 0.7500  2 Tc 2.32, 2 Ni 2.47
Tc: 0.8750 0.6249 0.7500  2 Tc 2.32, 2 Ni 2.47
Ni: 0.5000 0.5000 0.0000  4 Tc 2.47
Ni: 0.2500 0.7500 0.5000  4 Tc 2.47

[11]
## SrTc2Ni (PBE-GGA)

Data for a relaxed SrTc2Ni crystal.

- size of the total moment (μB/cell) = 0.000
- raw total energy (eV/atom) = -5.854
- symmetry = Fm-3m, No. 225
- N(E_F) (states/eV per cell) = 5.8
- formation enthalpy at 0 K (meV/atom) = 1195

Unit cell a=4.5495 b=4.5495 c=4.5495 alpha=60.00 beta=60.00 gamma=60.00
Last column: nearest neighbours and their distance in Å.
Atoms (fractional coordinates):
Sr: 0.5000 0.5000 0.5000  8 Tc 2.79
Tc: 0.2500 0.2500 0.2500  4 Sr 2.79, 4 Ni 2.79
Tc: 0.7500 0.7500 0.7500  4 Ni 2.79, 4 Sr 2.79
Ni: 0.0000 0.0000 0.0000  8 Tc 2.79

[12]
## SrTc2Ni (PBE-GGA)

Data for a relaxed SrTc2Ni crystal.

- size of the total moment (μB/cell) = 0.824
- raw total energy (eV/atom) = -6.661
- symmetry = P4mm, No. 99
- N(E_F) (states/eV per cell) = 4.8
- formation enthalpy at 0 K (meV/atom) = 388

Unit cell a=3.1510 b=3.1510 c=7.4542 alpha=90.00 beta=90.00 gamma=90.00
Last column: nearest neighbours and their distance in Å.
Atoms (fractional coordinates):
Ni: 0.0000 0.0000 0.4354  5 Tc 2.63-2.67
Sr: 0.5000 0.5000 0.7399  4 Sr 3.15, 4 Ni 3.18, 4 Tc 3.36
Tc: 0.0000 0.0000 0.0771  4 Tc 2.57, 1 Ni 2.67
Tc: 0.5000 0.5000 0.2476  4 Tc 2.57, 4 Ni 2.63

[13]
## SrTc2Ni (PBE-GGA)

Data for a relaxed SrTc2Ni crystal.

- size of the total moment (μB/cell) = 0.002
- raw total energy (eV/atom) = -6.234
- symmetry = Pmmm, No. 47
- N(E_F) (states/eV per cell) = 5.5
- formation enthalpy at 0 K (meV/atom) = 815

Unit cell a=3.1806 b=4.3265 c=5.0717 alpha=90.00 beta=90.00 gamma=90.00
Last column: nearest neighbours and their distance in Å.
Atoms (fractional coordinates):
Ni: 0.5000 0.0000 0.5000  4 Sr 2.68, 4 Tc 2.99
Sr: 0.0000 0.5000 0.5000  4 Ni 2.68, 4 Tc 2.99
Tc: 0.0000 0.0000 0.0000  4 Tc 2.68, 4 Ni 2.99
Tc: 0.5000 0.5000 0.0000  4 Tc 2.68, 4 Sr 2.99

[14]
## SrTc2Ni (PBE-GGA)

Data for a relaxed SrTc2Ni crystal.

- size of the total moment (μB/cell) = 0.000
- raw total energy (eV/atom) = -6.494
- symmetry = Immm, No. 71
- N(E_F) (states/eV per cell) = 3.6
- formation enthalpy at 0 K (meV/atom) = 555

Unit cell a=5.9657 b=5.9657 c=5.9657 alpha=153.07 beta=134.07 gamma=54.05
Last column: nearest neighbours and their distance in Å.
Atoms (fractional coordinates):
Ni: 0.7500 0.2500 0.5000  4 Tc 2.65, 4 Sr 2.71, 2 Ni 2.78
Sr: 0.2500 0.7500 0.5000  4 Ni 2.71, 2 Sr 2.78
Tc: 0.9628 0.9628 0.0000  2 Ni 2.65, 6 Tc 2.78-2.82
Tc: 0.5372 0.5372 0.0000  2 Ni 2.65, 6 Tc 2.78-2.82

[15]
## SrTc4Ni (PBE-GGA)

Data for a relaxed SrTc4Ni crystal.

- size of the total moment (μB/cell) = 0.002
- raw total energy (eV/atom) = -7.466
- symmetry = F-43m, No. 216
- N(E_F) (states/eV per cell) = 9.1
- formation enthalpy at 0 K (meV/atom) = 689

Unit cell a=5.2900 b=5.2900 c=5.2900 alpha=60.00 beta=60.00 gamma=60.00
Last column: nearest neighbours and their distance in Å.
Atoms (fractional coordinates):
Sr: 0.0000 0.0000 0.0000  12 Tc 3.10, 4 Ni 3.24
Tc: 0.3761 0.8718 0.3761  6 Tc 2.62-2.67
Tc: 0.8718 0.3761 0.3761  6 Tc 2.62-2.67
Tc: 0.3761 0.3761 0.8718  6 Tc 2.62-2.67
Tc: 0.3761 0.3761 0.3761  6 Tc 2.62-2.67
Ni: 0.7500 0.7500 0.7500  12 Tc 3.10, 4 Sr 3.24

[16]
## SrTcNi4 (PBE-GGA)

Data for a relaxed SrTcNi4 crystal.

- size of the total moment (μB/cell) = 4.856
- raw total energy (eV/atom) = -5.531
- symmetry = F-43m, No. 216
- N(E_F) (states/eV per cell) = 5.7
- formation enthalpy at 0 K (meV/atom) = 332

Unit cell a=5.0026 b=5.0026 c=5.0026 alpha=60.00 beta=60.00 gamma=60.00
Last column: nearest neighbours and their distance in Å.
Atoms (fractional coordinates):
Sr: 0.7500 0.7500 0.7500  12 Ni 2.94, 4 Tc 3.06
Tc: 0.0000 0.0000 0.0000  12 Ni 2.93, 4 Sr 3.06
Ni: 0.8784 0.3739 0.3739  6 Ni 2.48-2.52
Ni: 0.3739 0.3739 0.8784  6 Ni 2.48-2.52
Ni: 0.3739 0.8784 0.3739  6 Ni 2.48-2.52
Ni: 0.3739 0.3739 0.3739  6 Ni 2.48-2.52

[17]
## SrTc2Ni (PBE-GGA)

Data for a relaxed SrTc2Ni crystal.

- size of the total moment (μB/cell) = 0.000
- raw total energy (eV/atom) = -6.379
- symmetry = P4/mmm, No. 123
- N(E_F) (states/eV per cell) = 2.0
- formation enthalpy at 0 K (meV/atom) = 670

Unit cell a=2.7379 b=2.7379 c=8.9416 alpha=90.00 beta=90.00 gamma=89.99
Last column: nearest neighbours and their distance in Å.
Atoms (fractional coordinates):
Ni: 0.5000 0.5000 0.2500  8 Tc 2.62, 4 Ni 2.74
Sr: 0.5000 0.5000 0.7500  4 Sr 2.74
Tc: 0.0000 0.0000 0.0526  4 Ni 2.62, 4 Tc 2.74
Tc: 0.0000 0.0000 0.4474  4 Ni 2.62, 4 Tc 2.74

[18]
## SrTc2Ni (PBE-GGA)

Data for a relaxed SrTc2Ni crystal.

- size of the total moment (μB/cell) = 0.001
- raw total energy (eV/atom) = -6.713
- symmetry = R3m, No. 160
- N(E_F) (states/eV per cell) = 6.5
- formation enthalpy at 0 K (meV/atom) = 336

Unit cell a=4.2252 b=4.2252 c=6.1650 alpha=69.98 beta=69.98 gamma=59.99
Last column: nearest neighbours and their distance in Å.
Atoms (fractional coordinates):
Ni: 0.4499 0.4499 0.6497  6 Tc 2.55-2.63
Sr: 0.2503 0.2503 0.2494  7 Tc 3.25-3.61, 4 Ni 3.33-3.40
Tc: 0.0591 0.0591 0.8225  3 Tc 2.45, 3 Ni 2.63
Tc: 0.7406 0.7406 0.7784  3 Tc 2.45, 3 Ni 2.55

[19]
## SrTc2Ni (PBE-GGA)

Data for a relaxed SrTc2Ni crystal.

- size of the total moment (μB/cell) = 0.000
- raw total energy (eV/atom) = -6.117
- symmetry = R-3m, No. 166
- N(E_F) (states/eV per cell) = 5.1
- formation enthalpy at 0 K (meV/atom) = 932

Unit cell a=9.8959 b=9.8959 c=9.8959 alpha=16.37 beta=16.37 gamma=16.37
Last column: nearest neighbours and their distance in Å.
Atoms (fractional coordinates):
Ni: 0.2500 0.2500 0.2500  6 Tc 2.59, 6 Ni 2.82
Sr: 0.7500 0.7500 0.7500  6 Sr 2.82
Tc: 0.9854 0.9854 0.9854  3 Ni 2.59, 6 Tc 2.82
Tc: 0.5146 0.5146 0.5146  3 Ni 2.59, 6 Tc 2.82

[20]
## Sr2NiTe (PBE-GGA)

Data for a relaxed Sr2NiTe crystal.

- energy relative to the elements, uncorrected (eV/atom) = -0.0506
- size of the total moment (μB/cell) = 0.000
- raw total energy (eV/atom) = -3.122
- symmetry = F-43m, No. 216
- N(E_F) (states/eV per cell) = 3.8

Unit cell a=5.4197 b=5.4197 c=5.4197 alpha=60.00 beta=60.00 gamma=60.00
Last column: nearest neighbours and their distance in Å.
Atoms (fractional coordinates):
Ni: 0.5000 0.5000 0.5000  4 Sr 3.32, 4 Te 3.32
Sr: 0.0000 0.0000 0.0000  4 Te 3.32, 4 Sr 3.32
Sr: 0.2500 0.2500 0.2500  4 Ni 3.32, 4 Sr 3.32
Te: 0.7500 0.7500 0.7500  4 Sr 3.32, 4 Ni 3.32